Record 1
Crystalline Ba6PdPt3 at its relaxed geometry. Source: Alexandria via LeMat-Bulk, functional PBE.

```
Ba6PdPt3
1.0
4.6371 0.0000 0.0000
0.0000 12.4593 -3.7238
0.0000 -0.5545 13.3129
Ba Pd Pt
12 2 6
Cartesian
1.1593 7.0028 10.2437
1.1593 2.9098 8.7369
3.4778 5.4652 6.3680
1.1593 6.4395 3.2211
3.4778 4.9019 -0.6546
3.4778 9.5013 7.0981
1.1593 2.4035 2.4910
3.4778 8.9949 0.8523
3.4778 11.4578 -2.1545
1.1593 10.7319 3.8980
1.1593 0.4470 11.7437
3.4778 1.1728 5.6911
3.4778 0.1958 9.0399
1.1593 11.7090 0.5492
3.4778 1.9112 0.4531
3.4778 4.9819 9.4812
1.1593 6.9228 0.1079
1.1593 3.5229 5.5340
3.4778 8.3819 4.0552
1.1593 9.9936 9.1361
```

## Properties
Energy of formation from the pure elements   -0.61 eV per atom
M_tot   0.00 μB/atom

Record 2
Crystalline La5Rh at its relaxed geometry. Source: Alexandria via LeMat-Bulk, functional PBE.

```
La5Rh
1.0
0.0000 4.5426 4.5426
4.5426 0.0000 4.5426
4.5426 4.5426 0.0000
La Rh
5 1
Cartesian
5.7041 5.7041 3.3810
3.3810 3.3810 3.3810
3.3810 5.7041 5.7041
6.8138 6.8138 6.8138
5.7041 3.3810 5.7041
0.0000 0.0000 0.0000
```

## Properties
Energy of formation from the pure elements   0.44 eV per atom
E above lowest polymorph   673.8 meV per atom
M_tot   0.00 μB/atom

Record 3
Crystalline Na2PmUS6 at its relaxed geometry. Source: Alexandria via LeMat-Bulk, functional PBE.

```
Na2PmUS6
1.0
-2.0848 -6.5706 0.9230
6.9550 -2.3568 -1.0674
1.7021 0.6444 9.6678
S Pm U Na
12 2 2 4
Cartesian
-0.5744 -4.1175 3.0808
4.3350 -3.4755 0.1863
2.3872 -6.8018 2.5101
2.2373 -4.8074 9.3372
1.6311 -1.5741 4.1642
1.2518 -1.6578 0.6689
4.9412 -6.7089 5.3593
4.1851 -1.4812 7.0133
1.5320 -4.7807 5.8919
7.1466 -4.1655 6.4427
5.3204 -6.6252 8.8546
5.0402 -3.5023 3.6316
4.3285 -0.8562 4.3002
-1.0424 -3.2853 0.4615
3.4775 -1.1784 -0.5337
-0.1914 -2.9631 5.2954
6.7885 -2.1977 1.5010
2.3729 -3.9347 2.3590
-0.2163 -6.0853 8.0224
4.1994 -4.3483 7.1644
```

## Properties
Formation energy without anion corrections   -12.07 eV/f.u.
M_tot   0.00 μB/atom

D(E_F) (computed, states/eV per cell): 10.44; 11.53; 19.35
V (computed, A^3/atom): 38.0; 31.2; 25.4
Mass density (computed, Mg/m³): 6.6; 7.1; 4.1